(1)
Entry from the Alexandria database: crystalline Li4In3Pb at its relaxed geometry (PBE).

```
data_Li4In3Pb
_cell_length_a 5.193
_cell_length_b 6.383
_cell_length_c 10.020
_cell_angle_alpha 90.00
_cell_angle_beta 90.00
_cell_angle_gamma 90.00
_symmetry_space_group_name_H-M 'P 1'
_symmetry_Int_Tables_number 1
loop_
_symmetry_equiv_pos_as_xyz
'x,y,z'
loop_
_atom_site_label
_atom_site_fract_x
_atom_site_fract_y
_atom_site_fract_z
Pb1 0.000 0.500 0.000
Pb2 0.000 0.500 0.500
In1 0.000 0.000 0.000
In2 0.000 0.000 0.500
In3 0.623 0.000 0.750
In4 0.377 0.000 0.250
In5 0.608 0.500 0.750
In6 0.392 0.500 0.250
Li1 0.500 0.755 0.000
Li2 0.500 0.755 0.500
Li3 0.500 0.245 0.000
Li4 0.500 0.245 0.500
Li5 0.129 0.756 0.750
Li6 0.871 0.756 0.250
Li7 0.871 0.244 0.250
Li8 0.129 0.244 0.750
```

Results
DOS(E_F)   2.74 states/eV/f.u.

(2)
Entry from the Alexandria database: crystalline Li5InPb at its relaxed geometry (PBE).

```
data_Li5InPb
_cell_length_a 7.378
_cell_length_b 7.378
_cell_length_c 12.771
_cell_angle_alpha 40.96
_cell_angle_beta 40.96
_cell_angle_gamma 67.33
_symmetry_space_group_name_H-M 'P 1'
_symmetry_Int_Tables_number 1
loop_
_symmetry_equiv_pos_as_xyz
'x,y,z'
loop_
_atom_site_label
_atom_site_fract_x
_atom_site_fract_y
_atom_site_fract_z
Li1 0.996 0.394 0.162
Li2 0.277 0.591 0.508
Li3 0.394 0.996 0.662
Li4 0.133 0.867 0.250
Li5 0.409 0.723 0.992
Li6 0.591 0.277 0.008
Li7 0.867 0.133 0.750
Li8 0.606 0.004 0.338
Li9 0.723 0.409 0.492
Li10 0.004 0.606 0.838
In1 0.496 0.504 0.250
In2 0.504 0.496 0.750
Pb1 0.000 0.000 0.000
Pb2 0.000 0.000 0.500
```

Results
DOS(E_F)   1.94 states/eV/f.u.

(3)
Entry from the Alexandria database: crystalline Li8InPb5 at its relaxed geometry (PBE).

```
data_Li8InPb5
_cell_length_a 7.415
_cell_length_b 7.415
_cell_length_c 7.415
_cell_angle_alpha 113.67
_cell_angle_beta 101.36
_cell_angle_gamma 113.67
_symmetry_space_group_name_H-M 'P 1'
_symmetry_Int_Tables_number 1
loop_
_symmetry_equiv_pos_as_xyz
'x,y,z'
loop_
_atom_site_label
_atom_site_fract_x
_atom_site_fract_y
_atom_site_fract_z
Li1 0.169 0.770 0.083
Li2 0.917 0.086 0.687
Li3 0.675 0.229 0.269
Li4 0.731 0.406 0.959
Li5 0.553 0.594 0.325
Li6 0.601 0.914 0.831
Li7 0.313 0.230 0.399
Li8 0.041 0.771 0.447
In1 0.250 0.500 0.750
Pb1 0.087 0.383 0.194
Pb2 0.806 0.893 0.189
Pb3 0.811 0.617 0.704
Pb4 0.500 0.000 0.500
Pb5 0.296 0.107 0.913
```

Results
DOS(E_F)   5.58 states/eV/f.u.

(4)
Entry from the Alexandria database: crystalline LiIn2Pb at its relaxed geometry (PBE).

```
data_LiIn2Pb
_cell_length_a 3.255
_cell_length_b 3.255
_cell_length_c 9.480
_cell_angle_alpha 90.00
_cell_angle_beta 90.00
_cell_angle_gamma 90.00
_symmetry_space_group_name_H-M 'P 1'
_symmetry_Int_Tables_number 1
loop_
_symmetry_equiv_pos_as_xyz
'x,y,z'
loop_
_atom_site_label
_atom_site_fract_x
_atom_site_fract_y
_atom_site_fract_z
Pb1 0.500 0.500 0.713
Li1 0.000 0.000 0.486
In1 0.000 0.000 0.018
In2 0.500 0.500 0.283
```

Results
DOS(E_F)   1.34 states/eV/f.u.

(5)
Entry from the Alexandria database: crystalline LiIn2Pb2 at its relaxed geometry (PBE).

```
data_LiIn2Pb2
_cell_length_a 8.555
_cell_length_b 8.555
_cell_length_c 3.983
_cell_angle_alpha 90.00
_cell_angle_beta 90.00
_cell_angle_gamma 90.00
_symmetry_space_group_name_H-M 'P 1'
_symmetry_Int_Tables_number 1
loop_
_symmetry_equiv_pos_as_xyz
'x,y,z'
loop_
_atom_site_label
_atom_site_fract_x
_atom_site_fract_y
_atom_site_fract_z
Pb1 0.168 0.668 0.500
Pb2 0.668 0.832 0.500
Pb3 0.832 0.332 0.500
Pb4 0.332 0.168 0.500
Li1 0.000 0.000 0.000
Li2 0.500 0.500 0.000
In1 0.367 0.867 0.000
In2 0.867 0.633 0.000
In3 0.633 0.133 0.000
In4 0.133 0.367 0.000
```

Results
DOS(E_F)   1.68 states/eV/f.u.

(6)
Entry from the Alexandria database: crystalline Li6InPb2 at its relaxed geometry (PBE).

```
data_Li6InPb2
_cell_length_a 3.038
_cell_length_b 8.189
_cell_length_c 10.172
_cell_angle_alpha 113.74
_cell_angle_beta 126.29
_cell_angle_gamma 90.00
_symmetry_space_group_name_H-M 'P 1'
_symmetry_Int_Tables_number 1
loop_
_symmetry_equiv_pos_as_xyz
'x,y,z'
loop_
_atom_site_label
_atom_site_fract_x
_atom_site_fract_y
_atom_site_fract_z
Li1 0.153 0.329 0.329
Li2 0.847 0.000 0.671
Li3 0.847 0.671 0.671
Li4 0.500 0.329 0.000
Li5 0.153 0.000 0.329
Li6 0.500 0.671 0.000
In1 0.000 0.000 0.000
Pb1 0.666 0.666 0.333
Pb2 0.334 0.334 0.667
```

Results
DOS(E_F)   2.91 states/eV/f.u.

What did we get for energy of formation from the pure elements? Answer: -0.2631 -0.2499 -0.1907 -0.0908 0.0237 -0.2588 eV/atom, in the order shown.